# 1
! HoGa2Ni2Ir GGA-PBE relaxed; values from VASP
! formation energy: -0.063 eV/atom
! uncorrected energy: -31.4 eV/cell
! total magnetic moment: 0.000 μB/f.u.
&SYSTEM
  ibrav = 0, nat = 6, ntyp = 4
/
ATOMIC_SPECIES
Ho 164.93 Ho.upf
Ga 69.72 Ga.upf
Ni 58.69 Ni.upf
Ir 192.22 Ir.upf
ATOMIC_POSITIONS crystal
Ho 0.0000 0.0000 0.0000
Ga 0.0000 0.5000 0.5000
Ga 0.5000 0.0000 0.5000
Ni 0.5000 0.5000 0.2430
Ni 0.5000 0.5000 0.7570
Ir 0.0000 0.0000 0.5000
CELL_PARAMETERS angstrom
4.6756 0.0000 0.0000
0.0000 4.6756 0.0000
0.0000 0.0000 5.2524

=====

# 2
! HoGaNiIr GGA-PBE relaxed; values from VASP
! formation energy: -0.511 eV/atom
! uncorrected energy: -24.3 eV/cell
! total magnetic moment: 0.000 μB/f.u.
&SYSTEM
  ibrav = 0, nat = 4, ntyp = 4
/
ATOMIC_SPECIES
Ho 164.93 Ho.upf
Ga 69.72 Ga.upf
Ni 58.69 Ni.upf
Ir 192.22 Ir.upf
ATOMIC_POSITIONS crystal
Ho 0.0000 0.0000 0.0000
Ga 0.5000 0.5000 0.5000
Ni 0.2500 0.2500 0.2500
Ir 0.7500 0.7500 0.7500
CELL_PARAMETERS angstrom
0.0000 3.2020 3.2020
3.2020 0.0000 3.2020
3.2020 3.2020 0.0000

=====

# 3
! Ho2Ga4NiIr3 GGA-PBE relaxed; values from VASP
! formation energy: -0.671 eV/atom
! uncorrected energy: -60.3 eV/cell
! total magnetic moment: 0.000 μB/f.u.
&SYSTEM
  ibrav = 0, nat = 10, ntyp = 4
/
ATOMIC_SPECIES
Ho 164.93 Ho.upf
Ga 69.72 Ga.upf
Ni 58.69 Ni.upf
Ir 192.22 Ir.upf
ATOMIC_POSITIONS crystal
Ho 0.0000 0.5000 0.2455
Ho 0.5000 0.0000 0.7545
Ga 0.0000 0.0000 0.5000
Ga 0.0000 0.5000 0.8726
Ga 0.5000 0.0000 0.1274
Ga 0.5000 0.5000 0.5000
Ni 0.5000 0.5000 0.0000
Ir 0.0000 0.0000 0.0000
Ir 0.0000 0.5000 0.6442
Ir 0.5000 0.0000 0.3558
CELL_PARAMETERS angstrom
4.0391 0.0000 0.0000
0.0000 4.0391 0.0000
0.0000 0.0000 10.8775

=====

# 4
! Ho3GaP2Ir9 GGA-PBE relaxed; values from VASP
! formation energy: -0.408 eV/atom
! uncorrected energy: -113.5 eV/cell
! total magnetic moment: 0.000 μB/f.u.
&SYSTEM
  ibrav = 0, nat = 15, ntyp = 4
/
ATOMIC_SPECIES
Ho 164.93 Ho.upf
Ga 69.72 Ga.upf
P 30.97 P.upf
Ir 192.22 Ir.upf
ATOMIC_POSITIONS crystal
Ho 0.0000 0.0000 0.0000
Ho 0.3333 0.6667 0.5789
Ho 0.6667 0.3333 0.4211
Ga 0.0000 0.0000 0.5000
P 0.3333 0.6667 0.1607
P 0.6667 0.3333 0.8393
Ir 0.0000 0.5000 0.0000
Ir 0.1599 0.3199 0.3077
Ir 0.1599 0.8401 0.3077
Ir 0.3199 0.1599 0.6923
Ir 0.5000 0.0000 0.0000
Ir 0.5000 0.5000 0.0000
Ir 0.6801 0.8401 0.3077
Ir 0.8401 0.1599 0.6923
Ir 0.8401 0.6801 0.6923
CELL_PARAMETERS angstrom
5.5962 0.0000 0.0000
-2.7981 4.8465 0.0000
0.0000 0.0000 10.3734

=====

# 5
! HoPaGaIr GGA-PBE relaxed; values from VASP
! formation energy: -0.468 eV/atom
! uncorrected energy: -27.8 eV/cell
! total magnetic moment: 0.001 μB/f.u.
&SYSTEM
  ibrav = 0, nat = 4, ntyp = 4
/
ATOMIC_SPECIES
Ho 164.93 Ho.upf
Pa 231.04 Pa.upf
Ga 69.72 Ga.upf
Ir 192.22 Ir.upf
ATOMIC_POSITIONS crystal
Ho 0.0000 0.0000 0.0000
Pa 0.5000 0.5000 0.5000
Ga 0.2500 0.2500 0.2500
Ir 0.7500 0.7500 0.7500
CELL_PARAMETERS angstrom
0.0000 3.5042 3.5042
3.5042 0.0000 3.5042
3.5042 3.5042 0.0000

=====

# 6
! Ho2Ga4Ir3Pd GGA-PBE relaxed; values from VASP
! formation energy: -0.725 eV/atom
! uncorrected energy: -60.3 eV/cell
! total magnetic moment: 0.000 μB/f.u.
&SYSTEM
  ibrav = 0, nat = 10, ntyp = 4
/
ATOMIC_SPECIES
Ho 164.93 Ho.upf
Ga 69.72 Ga.upf
Ir 192.22 Ir.upf
Pd 106.42 Pd.upf
ATOMIC_POSITIONS crystal
Ho 0.0000 0.5000 0.2504
Ho 0.5000 0.0000 0.7496
Ga 0.0000 0.0000 0.0000
Ga 0.0000 0.5000 0.6313
Ga 0.5000 0.0000 0.3687
Ga 0.5000 0.5000 0.0000
Ir 0.0000 0.5000 0.8610
Ir 0.5000 0.0000 0.1390
Ir 0.5000 0.5000 0.5000
Pd 0.0000 0.0000 0.5000
CELL_PARAMETERS angstrom
4.1367 0.0000 0.0000
0.0000 4.1367 0.0000
0.0000 0.0000 10.6722

=====

# 7
! HoGaIrPd GGA-PBE relaxed; values from VASP
! formation energy: -0.700 eV/atom
! uncorrected energy: -24.5 eV/cell
! total magnetic moment: 0.000 μB/f.u.
&SYSTEM
  ibrav = 0, nat = 4, ntyp = 4
/
ATOMIC_SPECIES
Ho 164.93 Ho.upf
Ga 69.72 Ga.upf
Ir 192.22 Ir.upf
Pd 106.42 Pd.upf
ATOMIC_POSITIONS crystal
Ho 0.0000 0.0000 0.0000
Ga 0.5000 0.5000 0.5000
Ir 0.2500 0.2500 0.2500
Pd 0.7500 0.7500 0.7500
CELL_PARAMETERS angstrom
0.0000 3.2714 3.2714
3.2714 0.0000 3.2714
3.2714 3.2714 0.0000

=====

# 8
! Ho2Ga4IrPd3 GGA-PBE relaxed; values from VASP
! formation energy: -0.758 eV/atom
! uncorrected energy: -53.3 eV/cell
! total magnetic moment: 0.000 μB/f.u.
&SYSTEM
  ibrav = 0, nat = 10, ntyp = 4
/
ATOMIC_SPECIES
Ho 164.93 Ho.upf
Ga 69.72 Ga.upf
Ir 192.22 Ir.upf
Pd 106.42 Pd.upf
ATOMIC_POSITIONS crystal
Ho 0.0000 0.5000 0.2371
Ho 0.5000 0.0000 0.7629
Ga 0.0000 0.0000 0.5000
Ga 0.0000 0.5000 0.8695
Ga 0.5000 0.0000 0.1305
Ga 0.5000 0.5000 0.5000
Ir 0.5000 0.5000 0.0000
Pd 0.0000 0.0000 0.0000
Pd 0.0000 0.5000 0.6381
Pd 0.5000 0.0000 0.3619
CELL_PARAMETERS angstrom
4.1741 0.0000 0.0000
0.0000 4.1741 0.0000
0.0000 0.0000 10.6116

=====

# 9
! Pm2HoGa3Ir4 GGA-PBE relaxed; values from VASP
! formation energy: -0.713 eV/atom
! uncorrected energy: -65.7 eV/cell
! total magnetic moment: 0.000 μB/f.u.
&SYSTEM
  ibrav = 0, nat = 10, ntyp = 4
/
ATOMIC_SPECIES
Pm 145.00 Pm.upf
Ho 164.93 Ho.upf
Ga 69.72 Ga.upf
Ir 192.22 Ir.upf
ATOMIC_POSITIONS crystal
Pm 0.0000 0.5000 0.2219
Pm 0.5000 0.0000 0.7781
Ho 0.0000 0.0000 0.5000
Ga 0.0000 0.5000 0.8814
Ga 0.5000 0.0000 0.1186
Ga 0.5000 0.5000 0.5000
Ir 0.0000 0.0000 0.0000
Ir 0.0000 0.5000 0.6557
Ir 0.5000 0.0000 0.3443
Ir 0.5000 0.5000 0.0000
CELL_PARAMETERS angstrom
4.2493 0.0000 0.0000
0.0000 4.2493 0.0000
0.0000 0.0000 11.1024

=====

# 10
! HoPuGaIr GGA-PBE relaxed; values from VASP
! formation energy: -0.485 eV/atom
! uncorrected energy: -32.7 eV/cell
! total magnetic moment: 5.254 μB/f.u.
&SYSTEM
  ibrav = 0, nat = 4, ntyp = 4
/
ATOMIC_SPECIES
Ho 164.93 Ho.upf
Pu 244.00 Pu.upf
Ga 69.72 Ga.upf
Ir 192.22 Ir.upf
ATOMIC_POSITIONS crystal
Ho 0.0000 0.0000 0.0000
Pu 0.5000 0.5000 0.5000
Ga 0.2500 0.2500 0.2500
Ir 0.7500 0.7500 0.7500
CELL_PARAMETERS angstrom
0.0000 3.4953 3.4953
3.4953 0.0000 3.4953
3.4953 3.4953 0.0000

=====

# 11
! Ho2Ga4IrRh3 GGA-PBE relaxed; values from VASP
! formation energy: -0.772 eV/atom
! uncorrected energy: -59.9 eV/cell
! total magnetic moment: 0.000 μB/f.u.
&SYSTEM
  ibrav = 0, nat = 10, ntyp = 4
/
ATOMIC_SPECIES
Ho 164.93 Ho.upf
Ga 69.72 Ga.upf
Ir 192.22 Ir.upf
Rh 102.91 Rh.upf
ATOMIC_POSITIONS crystal
Ho 0.0000 0.5000 0.2314
Ho 0.5000 0.0000 0.7686
Ga 0.0000 0.0000 0.5000
Ga 0.0000 0.5000 0.8705
Ga 0.5000 0.0000 0.1295
Ga 0.5000 0.5000 0.5000
Ir 0.5000 0.5000 0.0000
Rh 0.0000 0.0000 0.0000
Rh 0.0000 0.5000 0.6287
Rh 0.5000 0.0000 0.3713
CELL_PARAMETERS angstrom
4.2546 0.0000 0.0000
0.0000 4.2546 0.0000
0.0000 0.0000 10.0211

=====

# 12
! Ho2Ga5IrRh2 GGA-PBE relaxed; values from VASP
! formation energy: -0.580 eV/atom
! uncorrected energy: -107.3 eV/cell
! total magnetic moment: 0.000 μB/f.u.
&SYSTEM
  ibrav = 0, nat = 20, ntyp = 4
/
ATOMIC_SPECIES
Ho 164.93 Ho.upf
Ga 69.72 Ga.upf
Ir 192.22 Ir.upf
Rh 102.91 Rh.upf
ATOMIC_POSITIONS crystal
Ho 0.1827 0.3173 0.0000
Ho 0.3173 0.8173 0.0000
Ho 0.6827 0.1827 0.0000
Ho 0.8173 0.6827 0.0000
Ga 0.0000 0.5000 0.5000
Ga 0.0525 0.8051 0.5000
Ga 0.1949 0.0525 0.5000
Ga 0.3051 0.5525 0.5000
Ga 0.4475 0.3051 0.5000
Ga 0.5000 0.0000 0.5000
Ga 0.5525 0.6949 0.5000
Ga 0.6949 0.4475 0.5000
Ga 0.8051 0.9475 0.5000
Ga 0.9475 0.1949 0.5000
Ir 0.0000 0.0000 0.0000
Ir 0.5000 0.5000 0.0000
Rh 0.1166 0.6166 0.0000
Rh 0.3834 0.1166 0.0000
Rh 0.6166 0.8834 0.0000
Rh 0.8834 0.3834 0.0000
CELL_PARAMETERS angstrom
9.5381 0.0000 0.0000
0.0000 9.5381 0.0000
0.0000 0.0000 3.8720

=====

# 13
! Ho2Ga4Ir3Rh GGA-PBE relaxed; values from VASP
! formation energy: -0.733 eV/atom
! uncorrected energy: -62.5 eV/cell
! total magnetic moment: 0.000 μB/f.u.
&SYSTEM
  ibrav = 0, nat = 10, ntyp = 4
/
ATOMIC_SPECIES
Ho 164.93 Ho.upf
Ga 69.72 Ga.upf
Ir 192.22 Ir.upf
Rh 102.91 Rh.upf
ATOMIC_POSITIONS crystal
Ho 0.0000 0.5000 0.2361
Ho 0.5000 0.0000 0.7639
Ga 0.0000 0.0000 0.5000
Ga 0.0000 0.5000 0.8731
Ga 0.5000 0.0000 0.1269
Ga 0.5000 0.5000 0.5000
Ir 0.0000 0.0000 0.0000
Ir 0.0000 0.5000 0.6358
Ir 0.5000 0.0000 0.3642
Rh 0.5000 0.5000 0.0000
CELL_PARAMETERS angstrom
4.2081 0.0000 0.0000
0.0000 4.2081 0.0000
0.0000 0.0000 10.2886

=====

# 14
! HoGa3IrRh GGA-PBE relaxed; values from VASP
! formation energy: -0.512 eV/atom
! uncorrected energy: -65.9 eV/cell
! total magnetic moment: 0.000 μB/f.u.
&SYSTEM
  ibrav = 0, nat = 12, ntyp = 4
/
ATOMIC_SPECIES
Ho 164.93 Ho.upf
Ga 69.72 Ga.upf
Ir 192.22 Ir.upf
Rh 102.91 Rh.upf
ATOMIC_POSITIONS crystal
Ho 0.1991 0.8009 0.7500
Ho 0.8009 0.1991 0.2500
Ga 0.2426 0.2426 0.0000
Ga 0.2426 0.2426 0.5000
Ga 0.3207 0.6793 0.2500
Ga 0.6793 0.3207 0.7500
Ga 0.7574 0.7574 0.0000
Ga 0.7574 0.7574 0.5000
Ir 0.0897 0.9103 0.2500
Ir 0.9103 0.0897 0.7500
Rh 0.4471 0.5529 0.7500
Rh 0.5529 0.4471 0.2500
CELL_PARAMETERS angstrom
4.0091 -5.3446 0.0000
4.0091 5.3446 0.0000
0.0000 0.0000 5.4573

=====

# 15
! HoGa4IrRh2 GGA-PBE relaxed; values from VASP
! formation energy: -0.637 eV/atom
! uncorrected energy: -45.3 eV/cell
! total magnetic moment: 0.000 μB/f.u.
&SYSTEM
  ibrav = 0, nat = 8, ntyp = 4
/
ATOMIC_SPECIES
Ho 164.93 Ho.upf
Ga 69.72 Ga.upf
Ir 192.22 Ir.upf
Rh 102.91 Rh.upf
ATOMIC_POSITIONS crystal
Ho 0.0000 0.0000 0.0000
Ga 0.1310 0.1310 0.1310
Ga 0.3975 0.3975 0.3975
Ga 0.6025 0.6025 0.6025
Ga 0.8690 0.8690 0.8690
Ir 0.5000 0.5000 0.5000
Rh 0.2374 0.2374 0.2374
Rh 0.7626 0.7626 0.7626
CELL_PARAMETERS angstrom
2.1181 1.2229 8.5484
-2.1181 1.2229 8.5484
0.0000 -2.4457 8.5484

=====

# 16
! HoGa4Ir2Rh GGA-PBE relaxed; values from VASP
! formation energy: -0.612 eV/atom
! uncorrected energy: -46.7 eV/cell
! total magnetic moment: 0.000 μB/f.u.
&SYSTEM
  ibrav = 0, nat = 8, ntyp = 4
/
ATOMIC_SPECIES
Ho 164.93 Ho.upf
Ga 69.72 Ga.upf
Ir 192.22 Ir.upf
Rh 102.91 Rh.upf
ATOMIC_POSITIONS crystal
Ho 0.0000 0.0000 0.0000
Ga 0.1310 0.1310 0.1310
Ga 0.3974 0.3974 0.3974
Ga 0.6026 0.6026 0.6026
Ga 0.8690 0.8690 0.8690
Ir 0.2381 0.2381 0.2381
Ir 0.7619 0.7619 0.7619
Rh 0.5000 0.5000 0.5000
CELL_PARAMETERS angstrom
2.1255 1.2271 8.4618
-2.1255 1.2271 8.4618
0.0000 -2.4543 8.4618

=====

# 17
! HoGa4Ir2Ru GGA-PBE relaxed; values from VASP
! formation energy: -0.545 eV/atom
! uncorrected energy: -48.0 eV/cell
! total magnetic moment: 0.000 μB/f.u.
&SYSTEM
  ibrav = 0, nat = 8, ntyp = 4
/
ATOMIC_SPECIES
Ho 164.93 Ho.upf
Ga 69.72 Ga.upf
Ir 192.22 Ir.upf
Ru 101.07 Ru.upf
ATOMIC_POSITIONS crystal
Ho 0.0000 0.0000 0.0000
Ga 0.1321 0.1321 0.1321
Ga 0.3983 0.3983 0.3983
Ga 0.6017 0.6017 0.6017
Ga 0.8679 0.8679 0.8679
Ir 0.2425 0.2425 0.2425
Ir 0.7575 0.7575 0.7575
Ru 0.5000 0.5000 0.5000
CELL_PARAMETERS angstrom
2.1282 1.2287 8.3805
-2.1282 1.2287 8.3805
0.0000 -2.4575 8.3805

=====

# 18
! Ho2Ga5IrRu2 GGA-PBE relaxed; values from VASP
! formation energy: -0.391 eV/atom
! uncorrected energy: -111.2 eV/cell
! total magnetic moment: 0.000 μB/f.u.
&SYSTEM
  ibrav = 0, nat = 20, ntyp = 4
/
ATOMIC_SPECIES
Ho 164.93 Ho.upf
Ga 69.72 Ga.upf
Ir 192.22 Ir.upf
Ru 101.07 Ru.upf
ATOMIC_POSITIONS crystal
Ho 0.1822 0.3178 0.0000
Ho 0.3178 0.8178 0.0000
Ho 0.6822 0.1822 0.0000
Ho 0.8178 0.6822 0.0000
Ga 0.0000 0.5000 0.5000
Ga 0.0544 0.8080 0.5000
Ga 0.1920 0.0544 0.5000
Ga 0.3080 0.5544 0.5000
Ga 0.4456 0.3080 0.5000
Ga 0.5000 0.0000 0.5000
Ga 0.5544 0.6920 0.5000
Ga 0.6920 0.4456 0.5000
Ga 0.8080 0.9456 0.5000
Ga 0.9456 0.1920 0.5000
Ir 0.0000 0.0000 0.0000
Ir 0.5000 0.5000 0.0000
Ru 0.1286 0.6286 0.0000
Ru 0.3714 0.1286 0.0000
Ru 0.6286 0.8714 0.0000
Ru 0.8714 0.3714 0.0000
CELL_PARAMETERS angstrom
10.5562 0.0000 0.0000
0.0000 10.5562 0.0000
0.0000 0.0000 3.1578

=====

# 19
! HoGaIrRu GGA-PBE relaxed; values from VASP
! formation energy: -0.452 eV/atom
! uncorrected energy: -27.6 eV/cell
! total magnetic moment: 0.000 μB/f.u.
&SYSTEM
  ibrav = 0, nat = 4, ntyp = 4
/
ATOMIC_SPECIES
Ho 164.93 Ho.upf
Ga 69.72 Ga.upf
Ir 192.22 Ir.upf
Ru 101.07 Ru.upf
ATOMIC_POSITIONS crystal
Ho 0.0000 0.0000 0.0000
Ga 0.5000 0.5000 0.5000
Ir 0.7500 0.7500 0.7500
Ru 0.2500 0.2500 0.2500
CELL_PARAMETERS angstrom
0.0000 3.2217 3.2217
3.2217 0.0000 3.2217
3.2217 3.2217 0.0000

=====

# 20
! HoScGaIr GGA-PBE relaxed; values from VASP
! formation energy: -0.719 eV/atom
! uncorrected energy: -25.7 eV/cell
! total magnetic moment: 0.000 μB/f.u.
&SYSTEM
  ibrav = 0, nat = 4, ntyp = 4
/
ATOMIC_SPECIES
Ho 164.93 Ho.upf
Sc 44.96 Sc.upf
Ga 69.72 Ga.upf
Ir 192.22 Ir.upf
ATOMIC_POSITIONS crystal
Ho 0.0000 0.0000 0.0000
Sc 0.5000 0.5000 0.5000
Ga 0.2500 0.2500 0.2500
Ir 0.7500 0.7500 0.7500
CELL_PARAMETERS angstrom
0.0000 3.3960 3.3960
3.3960 0.0000 3.3960
3.3960 3.3960 0.0000